Entry 1:
DyPu3Zr2N6: optimized geometry, GGA-PBE.

Cell lengths 5.8942, 10.1979, 5.8894 Å; angles 90.00, 109.46, 90.00 degrees
Space group C2/m (No. 12)
Unique sites:
Dy  0.0000  0.0000  0.0000 (multiplicity 2)
Pu  0.0000  0.1658  0.5000 (multiplicity 4)
Pu  0.0000  0.5000  0.5000 (multiplicity 2)
Zr  0.0000  0.3333  0.0000 (multiplicity 4)
N  0.2347  0.5000  0.2391 (multiplicity 4)
N  0.2472  0.3278  0.7586 (multiplicity 8)

Results
- Fermi-level density of states: 19.23 states/eV/f.u.
- Total DFT energy (no corrections): -11.056 eV per atom
- Calculated volume: 333.8 Å³ per cell
- Formation energy (no corrections): -1.5020 eV per atom
- Theoretical density: 11.55 g/cm3

***

Entry 2:
DyPuZrN3: optimized geometry, GGA-PBE.

Cell lengths 6.7165, 3.2243, 8.5475 Å; angles 90.00, 92.43, 90.00 degrees
Space group P2_1/m (No. 11)
Unique sites:
Dy  0.1378  0.2500  0.1425 (multiplicity 2)
Pu  0.1174  0.2500  0.5548 (multiplicity 2)
Zr  0.3749  0.7500  0.8546 (multiplicity 2)
N  0.1285  0.2500  0.8628 (multiplicity 2)
N  0.3150  0.7500  0.6089 (multiplicity 2)
N  0.3913  0.7500  0.1232 (multiplicity 2)

Results
- Fermi-level density of states: 2.41 states/eV/f.u.
- Total DFT energy (no corrections): -9.901 eV per atom
- Calculated volume: 184.9 Å³ per cell
- Formation energy (no corrections): -1.1576 eV per atom
- Theoretical density: 9.69 g/cm3

***

Entry 3:
Dy2PuZr3N6: optimized geometry, GGA-PBE.

Cell lengths 14.6747, 3.3483, 6.7401 Å; angles 90.00, 103.92, 90.00 degrees
Space group C2/m (No. 12)
Unique sites:
Dy  0.1671  0.0000  0.3343 (multiplicity 4)
Pu  0.0000  0.5000  0.0000 (multiplicity 2)
Zr  0.0000  0.5000  0.5000 (multiplicity 2)
Zr  0.1674  0.0000  0.8333 (multiplicity 4)
N  0.0039  0.0000  0.7415 (multiplicity 4)
N  0.1634  0.5000  0.5931 (multiplicity 4)
N  0.1705  0.5000  0.0737 (multiplicity 4)

Results
- Fermi-level density of states: 8.28 states/eV/f.u.
- Total DFT energy (no corrections): -9.923 eV per atom
- Calculated volume: 321.4 Å³ per cell
- Formation energy (no corrections): -1.6623 eV per atom
- Theoretical density: 9.57 g/cm3

***

Entry 4:
DyPuZr2N4: optimized geometry, GGA-PBE.

Cell lengths 5.7915, 3.3541, 5.8535 Å; angles 90.00, 109.26, 90.00 degrees
Space group P2/m (No. 10)
Unique sites:
Dy  0.0000  0.0000  0.0000 (multiplicity 1)
Pu  0.5000  0.5000  0.0000 (multiplicity 1)
Zr  0.0000  0.5000  0.5000 (multiplicity 1)
Zr  0.5000  0.0000  0.5000 (multiplicity 1)
N  0.2461  0.0000  0.7349 (multiplicity 2)
N  0.2559  0.5000  0.2671 (multiplicity 2)

Results
- Fermi-level density of states: 7.89 states/eV/f.u.
- Total DFT energy (no corrections): -10.292 eV per atom
- Calculated volume: 107.3 Å³ per cell
- Formation energy (no corrections): -1.6253 eV per atom
- Theoretical density: 9.98 g/cm3

***

Entry 5:
RbDyN: optimized geometry, GGA-PBE.

Cell lengths 16.1299, 3.6664, 6.9246 Å; angles 90.00, 91.62, 90.00 degrees
Space group C2/m (No. 12)
Unique sites:
Rb  0.0720  0.0000  0.2413 (multiplicity 4)
Dy  0.2092  0.0000  0.8274 (multiplicity 4)
N  0.1757  0.5000  0.9928 (multiplicity 4)

Results
- Fermi-level density of states: 1.04 states/eV/f.u.
- Total DFT energy (no corrections): -5.213 eV per atom
- Calculated volume: 409.3 Å³ per cell
- Formation energy (no corrections): -0.5816 eV per atom
- Theoretical density: 4.25 g/cm3

***

Entry 6:
RbDyTcN3: optimized geometry, GGA-PBE.

Cell lengths 13.5226, 3.8766, 8.1169 Å; angles 90.00, 104.15, 90.00 degrees
Space group C2/m (No. 12)
Unique sites:
Rb  0.1419  0.0000  0.0714 (multiplicity 4)
Dy  0.1616  0.0000  0.5667 (multiplicity 4)
Tc  0.0019  0.5000  0.3350 (multiplicity 4)
N  0.0122  0.0000  0.3352 (multiplicity 4)
N  0.1339  0.5000  0.7729 (multiplicity 4)
N  0.1627  0.5000  0.3885 (multiplicity 4)

Results
- Fermi-level density of states: 2.05 states/eV/f.u.
- Total DFT energy (no corrections): -7.273 eV per atom
- Calculated volume: 412.6 Å³ per cell
- Formation energy (no corrections): -0.4547 eV per atom
- Theoretical density: 6.25 g/cm3

***

Entry 7:
DyReN3: optimized geometry, GGA-PBE.

Cell lengths 11.2041, 9.6993, 6.3210 Å; angles 90.00, 113.41, 90.00 degrees
Space group C2/c (No. 15)
Unique sites:
Dy  0.0000  0.0945  0.2500 (multiplicity 4)
Dy  0.0000  0.2884  0.7500 (multiplicity 4)
Re  0.2090  0.4145  0.2158 (multiplicity 8)
N  0.1128  0.1065  0.6625 (multiplicity 8)
N  0.1209  0.2527  0.1587 (multiplicity 8)
N  0.1526  0.4834  0.9128 (multiplicity 8)

Results
- Fermi-level density of states: 2.22 states/eV/f.u.
- Total DFT energy (no corrections): -9.085 eV per atom
- Calculated volume: 630.4 Å³ per cell
- Formation energy (no corrections): -0.6793 eV per atom
- Theoretical density: 8.23 g/cm3

***

Entry 8:
Dy2Re2N7: optimized geometry, GGA-PBE.

Cell lengths 7.2423, 9.6714, 5.2096 Å; angles 90.00, 103.06, 90.00 degrees
Space group C2/m (No. 12)
Unique sites:
Dy  0.0000  0.1926  0.0000 (multiplicity 4)
Re  0.2266  0.5000  0.3967 (multiplicity 4)
N  0.0000  0.5000  0.5000 (multiplicity 2)
N  0.0986  0.0000  0.2864 (multiplicity 4)
N  0.2387  0.3456  0.2064 (multiplicity 8)

Results
- Fermi-level density of states: 4.38 states/eV/f.u.
- Total DFT energy (no corrections): -8.893 eV per atom
- Calculated volume: 355.5 Å³ per cell
- Formation energy (no corrections): -0.4947 eV per atom
- Theoretical density: 7.43 g/cm3

***

Entry 9:
Dy2ReN4: optimized geometry, GGA-PBE.

Cell lengths 5.8457, 5.8548, 6.4793 Å; angles 90.00, 107.59, 90.00 degrees
Space group P2_1/m (No. 11)
Unique sites:
Dy  0.1696  0.2500  0.0353 (multiplicity 2)
Dy  0.2360  0.2500  0.5574 (multiplicity 2)
Re  0.2902  0.7500  0.8131 (multiplicity 2)
N  0.0467  0.5157  0.7550 (multiplicity 4)
N  0.4725  0.7500  0.0931 (multiplicity 2)
N  0.4829  0.7500  0.6383 (multiplicity 2)

Results
- Fermi-level density of states: 2.56 states/eV/f.u.
- Total DFT energy (no corrections): -8.745 eV per atom
- Energy relative to the lowest polymorph listed for this composition: 0.000 eV per atom
- Calculated volume: 211.4 Å³ per cell
- Formation energy (no corrections): -0.8946 eV per atom
- Theoretical density: 8.91 g/cm3

***

Entry 10:
DyReN4: optimized geometry, GGA-PBE.

Cell lengths 7.3106, 11.7658, 5.0074 Å; angles 90.00, 132.17, 90.00 degrees
Space group C2/c (No. 15)
Unique sites:
Dy  0.0000  0.1303  0.2500 (multiplicity 4)
Re  0.0000  0.3847  0.7500 (multiplicity 4)
N  0.1327  0.2945  0.6260 (multiplicity 8)
N  0.2482  0.0300  0.8473 (multiplicity 8)

Results
- Fermi-level density of states: 4.15 states/eV/f.u.
- Total DFT energy (no corrections): -8.486 eV per atom
- Calculated volume: 319.2 Å³ per cell
- Formation energy (no corrections): -0.0938 eV per atom
- Theoretical density: 8.42 g/cm3

***

Entry 11:
Dy2ReN4: optimized geometry, GGA-PBE.

Cell lengths 9.3100, 9.3100, 9.3100 Å; angles 90.00, 90.00, 90.00 degrees
Space group Fd-3m (No. 227, origin choice 2)
Unique sites:
Dy  0.0000  0.0000  0.0000 (multiplicity 16)
Re  0.1250  0.1250  0.6250 (multiplicity 8)
N  0.0099  0.0099  0.7401 (multiplicity 32)

Results
- Fermi-level density of states: 2.52 states/eV/f.u.
- Total DFT energy (no corrections): -8.688 eV per atom
- Energy relative to the lowest polymorph listed for this composition: 0.057 eV per atom
- Calculated volume: 807.0 Å³ per cell
- Formation energy (no corrections): -0.8376 eV per atom
- Theoretical density: 9.34 g/cm3

***

Entry 12:
DyReN: optimized geometry, GGA-PBE.

Cell lengths 11.3130, 5.3696, 3.9969 Å; angles 90.00, 93.12, 90.00 degrees
Space group C2/m (No. 12)
Unique sites:
Dy  0.1741  0.0000  0.2210 (multiplicity 4)
Re  0.0624  0.5000  0.2583 (multiplicity 4)
N  0.2268  0.5000  0.2623 (multiplicity 4)

Results
- Fermi-level density of states: 0.92 states/eV/f.u.
- Total DFT energy (no corrections): -8.862 eV per atom
- Calculated volume: 242.4 Å³ per cell
- Formation energy (no corrections): -0.4038 eV per atom
- Theoretical density: 9.94 g/cm3

***

Entry 13:
Dy2ReN5: optimized geometry, GGA-PBE.

Cell lengths 3.9107, 11.9391, 10.8552 Å; angles 90.00, 90.00, 90.00 degrees
Space group Cmcm (No. 63)
Unique sites:
Dy  0.0000  0.1470  0.0682 (multiplicity 8)
Re  0.0000  0.1427  0.7500 (multiplicity 4)
N  0.0000  0.0457  0.6249 (multiplicity 8)
N  0.0000  0.2738  0.5981 (multiplicity 8)
N  0.0000  0.2953  0.2500 (multiplicity 4)

Results
- Fermi-level density of states: 4.84 states/eV/f.u.
- Total DFT energy (no corrections): -8.232 eV per atom
- Calculated volume: 506.8 Å³ per cell
- Formation energy (no corrections): -0.3223 eV per atom
- Theoretical density: 7.62 g/cm3

***

Entry 14:
Dy6ReN8: optimized geometry, GGA-PBE.

Cell lengths 7.0658, 7.0658, 14.3322 Å; angles 90.00, 90.00, 120.00 degrees
Space group R-3 (No. 148, hexagonal axes)
Unique sites:
Dy  0.0276  0.3986  0.4162 (multiplicity 18)
Re  0.0000  0.0000  0.5000 (multiplicity 3)
N  0.0000  0.0000  0.1692 (multiplicity 6)
N  0.0145  0.2486  0.5850 (multiplicity 18)

Results
- Fermi-level density of states: 4.57 states/eV/f.u.
- Total DFT energy (no corrections): -8.195 eV per atom
- Calculated volume: 619.7 Å³ per cell
- Formation energy (no corrections): -1.0836 eV per atom
- Theoretical density: 10.24 g/cm3

***

Entry 15:
DyReN3: optimized geometry, GGA-PBE.

Cell lengths 5.6235, 3.7287, 7.8883 Å; angles 90.00, 110.84, 90.00 degrees
Space group P2_1/m (No. 11)
Unique sites:
Dy  0.2049  0.2500  0.1883 (multiplicity 2)
Re  0.1711  0.2500  0.6747 (multiplicity 2)
N  0.0327  0.7500  0.6050 (multiplicity 2)
N  0.0831  0.2500  0.8845 (multiplicity 2)
N  0.4944  0.7500  0.2768 (multiplicity 2)

Results
- Fermi-level density of states: 2.21 states/eV/f.u.
- Total DFT energy (no corrections): -9.071 eV per atom
- Calculated volume: 154.6 Å³ per cell
- Formation energy (no corrections): -0.6662 eV per atom
- Theoretical density: 8.39 g/cm3

***

Entry 16:
SmDy2ReN4: optimized geometry, GGA-PBE.

Cell lengths 3.4501, 11.7062, 11.6202 Å; angles 90.00, 90.00, 90.00 degrees
Space group Cmcm (No. 63)
Unique sites:
Sm  0.0000  0.1235  0.2500 (multiplicity 4)
Dy  0.0000  0.3686  0.0391 (multiplicity 8)
Re  0.0000  0.1408  0.7500 (multiplicity 4)
N  0.0000  0.0000  0.0000 (multiplicity 4)
N  0.0000  0.2641  0.6295 (multiplicity 8)
N  0.0000  0.4424  0.2500 (multiplicity 4)

Results
- Fermi-level density of states: 1.61 states/eV/f.u.
- Total DFT energy (no corrections): -8.494 eV per atom
- Calculated volume: 469.3 Å³ per cell
- Formation energy (no corrections): -1.0349 eV per atom
- Theoretical density: 10.16 g/cm3

***

Entry 17:
Sr2DyRe2N6: optimized geometry, GGA-PBE.

Cell lengths 6.1717, 6.1717, 17.6647 Å; angles 90.00, 90.00, 120.00 degrees
Space group R-3m (No. 166, hexagonal axes)
Unique sites:
Sr  0.0000  0.0000  0.2083 (multiplicity 6)
Dy  0.0000  0.0000  0.0000 (multiplicity 3)
Re  0.0000  0.0000  0.4191 (multiplicity 6)
N  0.0037  0.5018  0.7538 (multiplicity 18)

Results
- Total DFT energy (no corrections): -8.133 eV per atom
- Calculated volume: 582.7 Å³ per cell
- Formation energy (no corrections): -0.6039 eV per atom
- Theoretical density: 6.79 g/cm3

***

Entry 18:
Sr2DyReN4: optimized geometry, GGA-PBE.

Cell lengths 6.0082, 6.0082, 7.4846 Å; angles 90.00, 90.00, 90.00 degrees
Space group I-4 (No. 82)
Unique sites:
Sr  0.0000  0.0000  0.0000 (multiplicity 2)
Sr  0.0000  0.5000  0.2500 (multiplicity 2)
Dy  0.0000  0.0000  0.5000 (multiplicity 2)
Re  0.0000  0.5000  0.7500 (multiplicity 2)
N  0.1834  0.2583  0.6690 (multiplicity 8)

Results
- Fermi-level density of states: 0.23 states/eV/f.u.
- Total DFT energy (no corrections): -7.482 eV per atom
- Calculated volume: 270.2 Å³ per cell
- Formation energy (no corrections): -0.7676 eV per atom
- Theoretical density: 7.13 g/cm3

***

Entry 19:
Dy2TaReN6: optimized geometry, GGA-PBE.

Cell lengths 5.4590, 5.6851, 9.5149 Å; angles 90.00, 124.71, 90.00 degrees
Space group P2_1/c (No. 14)
Unique sites:
Dy  0.2384  0.0625  0.2504 (multiplicity 4)
Ta  0.5000  0.0000  0.0000 (multiplicity 2)
Re  0.0000  0.0000  0.5000 (multiplicity 2)
N  0.1441  0.2050  0.9496 (multiplicity 4)
N  0.2460  0.6958  0.9515 (multiplicity 4)
N  0.3386  0.0246  0.7444 (multiplicity 4)

Results
- Fermi-level density of states: 3.95 states/eV/f.u.
- Total DFT energy (no corrections): -9.288 eV per atom
- Calculated volume: 242.8 Å³ per cell
- Formation energy (no corrections): -0.9421 eV per atom
- Theoretical density: 10.62 g/cm3

***

Entry 20:
Dy2ReTcN6: optimized geometry, GGA-PBE.

Cell lengths 5.3735, 5.6163, 9.4277 Å; angles 90.00, 124.76, 90.00 degrees
Space group P2_1/c (No. 14)
Unique sites:
Dy  0.2397  0.0653  0.2500 (multiplicity 4)
Re  0.0000  0.0000  0.5000 (multiplicity 2)
Tc  0.5000  0.0000  0.0000 (multiplicity 2)
N  0.1514  0.2015  0.9558 (multiplicity 4)
N  0.2582  0.6989  0.9561 (multiplicity 4)
N  0.3337  0.0196  0.7487 (multiplicity 4)

Results
- Fermi-level density of states: 3.31 states/eV/f.u.
- Total DFT energy (no corrections): -8.826 eV per atom
- Calculated volume: 233.7 Å³ per cell
- Formation energy (no corrections): -0.6287 eV per atom
- Theoretical density: 9.85 g/cm3